# FeCo2NiC (PBE, relaxed)
data_FeCo2NiC
_chemical_formula_sum 'Fe1 Co2 Ni1 C1'
_space_group_name_H-M_alt 'P 1'
_space_group_IT_number 1
_space_group_name_Hall 'P 1'
_cell_length_a 3.764
_cell_length_b 3.764
_cell_length_c 3.730
_cell_angle_alpha 90.00
_cell_angle_beta 90.00
_cell_angle_gamma 90.00
loop_
_atom_site_label
_atom_site_fract_x
_atom_site_fract_y
_atom_site_fract_z
Ni1 0.000 0.000 0.500
C1 0.000 0.000 0.000
Co1 0.000 0.500 0.000
Co2 0.500 0.000 0.000
Fe1 0.500 0.500 0.500
# * formation enthalpy at 0 K: 0.1543 eV per atom
# * energy above the most stable polymorph in this dataset: 0.000 eV/atom
# * ρ: 7.68 g cm⁻³
# * space group: P4/mmm, No. 123
# * raw total energy: -7.3816 eV/atom